--- w ---
# AlHgBr3

A geometry-optimized AlHgBr3 structure (PBE-GGA, Alexandria).

Lattice parameters (Å, degrees): 5.165 5.165 5.165 90.00 90.00 90.00
Sites, in units of the cell vectors:
Al  0.000  0.000  0.000
Hg  0.500  0.500  0.500
Br  0.000  0.500  0.000
Br  0.000  0.000  0.500
Br  0.500  0.000  0.000

As for the total magnetic moment: 0.00 μB/f.u. The volume is 27.56 Å³ per atom.



--- x ---
# AlHgBr3

A geometry-optimized AlHgBr3 structure (PBE-GGA, Alexandria).

Lattice parameters (Å, degrees): 7.253 6.407 9.714 89.91 105.55 90.17
Sites, in units of the cell vectors:
Al  0.734  0.816  0.309
Al  0.234  0.537  0.809
Hg  0.637  0.450  0.209
Hg  0.137  0.903  0.709
Br  0.556  0.488  0.838
Br  0.549  0.028  0.124
Br  0.050  0.324  0.623
Br  0.056  0.867  0.337
Br  0.146  0.490  0.017
Br  0.646  0.862  0.517

As for the total magnetic moment: 0.00 μB/f.u. The volume is 43.49 Å³ per atom.



It comes down to x, which is 307 meV per atom more stable than the next structure.



--- w ---
# Al2IBr

A geometry-optimized Al2IBr structure (PBE-GGA, Alexandria).

Lattice parameters (Å, degrees): 7.352 7.352 8.834 65.41 65.41 90.00
Sites, in units of the cell vectors:
I  0.000  0.000  0.000
I  0.750  0.250  0.500
Al  0.602  0.125  0.250
Al  0.148  0.625  0.250
Al  0.375  0.398  0.750
Al  0.875  0.852  0.750
Br  0.500  0.500  0.000
Br  0.250  0.750  0.500

As for the total magnetic moment: 0.00 μB/f.u. The volume is 48.25 Å³ per atom.



--- x ---
# Al2IBr

A geometry-optimized Al2IBr structure (PBE-GGA, Alexandria).

Lattice parameters (Å, degrees): 5.536 5.536 5.536 60.00 60.00 60.00
Sites, in units of the cell vectors:
I  0.500  0.500  0.500
Al  0.250  0.250  0.250
Al  0.750  0.750  0.750
Br  0.000  0.000  0.000

As for the total magnetic moment: 0.00 μB/f.u. The volume is 29.99 Å³ per atom.



It comes down to x, which is 45 meV per atom more stable than the next structure.



--- w ---
# AlI2Br

A geometry-optimized AlI2Br structure (PBE-GGA, Alexandria).

Lattice parameters (Å, degrees): 8.246 8.246 7.050 54.21 54.21 90.00
Sites, in units of the cell vectors:
I  0.544  0.125  0.250
I  0.206  0.625  0.250
I  0.375  0.456  0.750
I  0.875  0.794  0.750
Al  0.500  0.500  0.000
Al  0.250  0.750  0.500
Br  0.000  0.000  0.000
Br  0.750  0.250  0.500

As for the total magnetic moment: 0.00 μB/f.u. The volume is 33.68 Å³ per atom.



--- x ---
# AlI2Br

A geometry-optimized AlI2Br structure (PBE-GGA, Alexandria).

Lattice parameters (Å, degrees): 4.012 8.149 8.149 45.76 75.63 75.63
Sites, in units of the cell vectors:
Al  0.750  0.910  0.590
I  0.599  0.869  0.931
I  0.901  0.569  0.631
Br  0.250  0.152  0.348

As for the total magnetic moment: 0.00 μB/f.u. The volume is 45.96 Å³ per atom.



It comes down to x, which is 502 meV per atom more stable than the next structure.



--- w ---
# AlIBr

A geometry-optimized AlIBr structure (PBE-GGA, Alexandria).

Lattice parameters (Å, degrees): 3.681 9.962 8.015 83.85 76.95 56.48
Sites, in units of the cell vectors:
Al  0.709  0.349  0.035
Al  0.291  0.651  0.965
I  0.843  0.701  0.708
I  0.157  0.299  0.292
Br  0.499  0.217  0.846
Br  0.501  0.783  0.154

As for the total magnetic moment: 0.00 μB/f.u. The volume is 39.77 Å³ per atom.



--- x ---
# AlIBr

A geometry-optimized AlIBr structure (PBE-GGA, Alexandria).

Lattice parameters (Å, degrees): 4.005 10.798 10.088 69.67 90.00 90.00
Sites, in units of the cell vectors:
Al  0.001  0.929  0.640
Al  0.999  0.071  0.360
Al  0.499  0.429  0.140
Al  0.501  0.571  0.860
Br  0.999  0.746  0.888
Br  0.501  0.246  0.388
Br  0.499  0.754  0.612
Br  0.001  0.254  0.112
I  0.500  0.951  0.252
I  0.000  0.451  0.752
I  0.000  0.549  0.248
I  0.500  0.049  0.748

As for the total magnetic moment: 0.00 μB/f.u. The volume is 34.09 Å³ per atom.



It comes down to w, which is 44 meV per atom more stable than the next structure.



--- w ---
# Al2IBr2

A geometry-optimized Al2IBr2 structure (PBE-GGA, Alexandria).

Lattice parameters (Å, degrees): 7.791 7.791 5.002 90.00 90.00 90.00
Sites, in units of the cell vectors:
I  0.000  0.000  0.000
I  0.500  0.500  0.000
Al  0.377  0.877  0.000
Al  0.877  0.623  0.000
Al  0.623  0.123  0.000
Al  0.123  0.377  0.000
Br  0.320  0.820  0.500
Br  0.820  0.680  0.500
Br  0.680  0.180  0.500
Br  0.180  0.320  0.500

As for the total magnetic moment: 0.00 μB/f.u. The volume is 30.37 Å³ per atom.



--- x ---
# Al2IBr2

A geometry-optimized Al2IBr2 structure (PBE-GGA, Alexandria).

Lattice parameters (Å, degrees): 4.842 4.842 6.720 68.89 68.89 90.00
Sites, in units of the cell vectors:
I  0.000  0.000  0.000
Al  0.380  0.380  0.239
Al  0.620  0.620  0.761
Br  0.750  0.250  0.500
Br  0.250  0.750  0.500

As for the total magnetic moment: 0.00 μB/f.u. The volume is 27.11 Å³ per atom.



It comes down to w, which is 131 meV per atom more stable than the next structure.



--- w ---
# AlIBrN2

A geometry-optimized AlIBrN2 structure (PBE-GGA, Alexandria).

Lattice parameters (Å, degrees): 4.211 4.211 7.702 90.00 90.00 90.00
Sites, in units of the cell vectors:
I  0.000  0.000  0.500
Al  0.500  0.500  0.500
Br  0.000  0.000  0.000
N  0.000  0.500  0.000
N  0.500  0.000  0.000

As for the total magnetic moment: 2.76 μB/f.u. The volume is 27.32 Å³ per atom.



--- x ---
# AlIBrN2

A geometry-optimized AlIBrN2 structure (PBE-GGA, Alexandria).

Lattice parameters (Å, degrees): 3.919 3.919 7.056 90.00 90.00 90.00
Sites, in units of the cell vectors:
I  0.000  0.000  0.500
Al  0.000  0.000  0.000
Br  0.500  0.500  0.500
N  0.000  0.500  0.000
N  0.500  0.000  0.000

As for the total magnetic moment: 1.05 μB/f.u. The volume is 21.67 Å³ per atom.



It comes down to x, which is 933 meV per atom more stable than the next structure.